{"formula": "RuPbW2", "functional": "PBE-GGA", "state": "relaxed", "cell": [[4.799, 0.000, 0.000], [0.000, 4.799, 0.000], [0.000, 0.000, 3.020]], "species": ["Pb", "W", "Ru", "W"], "frac_coords": [[0.500, 0.000, 0.500], [0.000, 0.000, 0.000], [0.000, 0.500, 0.500], [0.500, 0.500, 0.000]], "final_energy_ev_per_cell": -34.72, "crystal_system": "tetragonal", "density_g_cm3": 16.14}

{"formula": "RuPb2W", "functional": "PBE-GGA", "state": "relaxed", "cell": [[-1.903, 0.068, -4.082], [-0.081, -3.118, -0.015], [-5.214, -0.121, 2.429]], "species": ["Pb", "Pb", "Ru", "W"], "frac_coords": [[0.000, 0.477, 0.495], [0.000, 0.023, 0.005], [0.500, 0.250, 0.250], [0.500, 0.750, 0.750]], "e_above_lowest_polymorph_mev_per_atom": 697, "crystal_system": "monoclinic", "density_g_cm3": 14.38}

{"formula": "RuPb2W", "functional": "PBE-GGA", "state": "relaxed", "cell": [[-2.699, -2.972, -2.732], [0.811, -4.787, 0.091], [-3.220, -2.969, 2.096]], "species": ["Pb", "W", "Pb", "Ru"], "frac_coords": [[0.250, 0.250, 0.250], [0.750, 0.750, 0.750], [0.000, 0.000, 0.000], [0.500, 0.500, 0.500]], "e_above_lowest_polymorph_mev_per_atom": 752, "crystal_system": "cubic", "density_g_cm3": 14.34}

{"formula": "RuPbW2", "functional": "PBE-GGA", "state": "relaxed", "cell": [[3.843, 0.000, 0.000], [0.000, 3.843, 0.000], [1.921, 1.921, 10.035]], "species": ["W", "W", "Ru", "Pb", "Ru", "W", "W", "Pb"], "frac_coords": [[0.128, 0.625, 0.250], [0.622, 0.125, 0.250], [0.500, 0.500, 0.000], [0.750, 0.250, 0.500], [0.250, 0.750, 0.500], [0.875, 0.872, 0.750], [0.375, 0.378, 0.750], [0.000, 0.000, 0.000]], "final_energy_ev_per_cell": -69.01, "crystal_system": "tetragonal", "density_g_cm3": 15.15}

{"formula": "RuPb2W", "functional": "PBE-GGA", "state": "relaxed", "cell": [[-0.672, 0.469, 5.534], [-3.625, -3.804, 1.918], [4.944, 0.902, -2.456]], "species": ["W", "Pb", "Ru", "Pb"], "frac_coords": [[0.250, 0.750, 0.500], [0.511, 0.511, 0.000], [0.750, 0.250, 0.500], [0.989, 0.989, 0.000]], "e_above_lowest_polymorph_mev_per_atom": 720, "crystal_system": "orthorhombic", "density_g_cm3": 14.31}

{"formula": "RuPbW2", "functional": "PBE-GGA", "state": "relaxed", "cell": [[-3.388, 3.031, -0.938], [0.588, -0.511, -3.776], [-2.569, -2.875, -0.011]], "species": ["W", "Pb", "Ru", "W"], "frac_coords": [[0.000, 0.000, 0.000], [0.500, 0.500, 0.000], [0.500, 0.000, 0.500], [0.000, 0.500, 0.500]], "final_energy_ev_per_cell": -35.88, "crystal_system": "tetragonal", "density_g_cm3": 16.27}